Model i:
DFT (SCAN) results for a crystal of AgSnAu3 relaxed with PBEsol.

Cell: 5.056 5.056 5.056 Å, 90.00 90.00 90.00°
Space group Pm-3m (No. 221)
Inequivalent atoms, fractional coordinates:
Ag (0.000, 0.000, 0.000) [1 per cell]
Sn (0.500, 0.500, 0.500) [1 per cell]
Au (0.000, 0.500, 0.500) [3 per cell]

Crystal system: cubic
Theoretical density, Mg/m³: 10.503
Total magnetization, μB/cell: 0.0

---

Model ii:
DFT (SCAN) results for a crystal of AgSnAu3 relaxed with PBEsol.

Cell: 4.960 4.960 4.960 Å, 90.00 90.00 90.00°
Space group Pm-3m (No. 221)
Inequivalent atoms, fractional coordinates:
Ag (0.000, 0.000, 0.000) [1 per cell]
Sn (0.500, 0.500, 0.500) [1 per cell]
Au (0.000, 0.000, 0.500) [3 per cell]

Crystal system: cubic
Theoretical density, Mg/m³: 11.125
Total magnetization, μB/cell: 0.0

---

It is model i that is the most stable of them.

---

Model i:
DFT (SCAN) results for a crystal of ZnAgAu relaxed with PBEsol.

Cell: 2.938 2.938 10.899 Å, 90.00 90.00 90.00°
Space group I4mm (No. 107)
Inequivalent atoms, fractional coordinates:
Zn (0.000, 0.000, 0.000) [2 per cell]
Ag (0.000, 0.000, 0.660) [2 per cell]
Au (0.000, 0.000, 0.345) [2 per cell]

Crystal system: tetragonal
Theoretical density, Mg/m³: 13.073
Total magnetization, μB/cell: 0.0

---

Model ii:
DFT (SCAN) results for a crystal of ZnAgAu relaxed with PBEsol.

Cell: 2.937 3.446 9.312 Å, 90.00 90.00 90.00°
Space group Imm2 (No. 44)
Inequivalent atoms, fractional coordinates:
Zn (0.000, 0.000, 0.000) [2 per cell]
Ag (0.000, 0.000, 0.660) [2 per cell]
Au (0.000, 0.000, 0.347) [2 per cell]

Crystal system: orthorhombic
Theoretical density, Mg/m³: 13.042
Total magnetization, μB/cell: 0.0

---

It is model ii that is the most stable of them.

---

Model i:
DFT (SCAN) results for a crystal of AgB3W relaxed with PBEsol.

Cell: 3.976 3.976 3.976 Å, 90.00 90.00 90.00°
Space group Pm-3m (No. 221)
Inequivalent atoms, fractional coordinates:
Ag (0.000, 0.000, 0.000) [1 per cell]
B (0.000, 0.000, 0.500) [3 per cell]
W (0.500, 0.500, 0.500) [1 per cell]

Crystal system: cubic
Theoretical density, Mg/m³: 8.565
Total magnetization, μB/cell: 1.6

---

Model ii:
DFT (SCAN) results for a crystal of AgB3W relaxed with PBEsol.

Cell: 4.149 4.149 4.149 Å, 90.00 90.00 90.00°
Space group Pm-3m (No. 221)
Inequivalent atoms, fractional coordinates:
Ag (0.000, 0.000, 0.000) [1 per cell]
B (0.000, 0.500, 0.500) [3 per cell]
W (0.500, 0.500, 0.500) [1 per cell]

Crystal system: cubic
Theoretical density, Mg/m³: 7.534
Total magnetization, μB/cell: 0.0

---

It is model ii that is the most stable of them.